No. 1
The following is a PBE-GGA calculation of crystalline Y2ReAu at its relaxed geometry, from the Alexandria database.

extended XYZ file:
```
4
Lattice="5.8964 0.0206 0.0375 4.9581 3.1914 0.0375 1.4207 0.4204 4.7812" Properties=species:S:1:pos:R:3 pbc="T T T"
Au 6.4990 1.9232 2.4674
Re 2.8275 0.8367 1.1066
Y 10.6061 3.1385 0.3466
Y 9.3345 2.7622 3.4385
```

Calculated values
E: -7.213 eV per atom
DFT formation energy: -50 meV/atom
space-group type: Cm (8)


No. 2
The following is a PBE-GGA calculation of crystalline Zn3FeN at its relaxed geometry, from the Alexandria database.

extended XYZ file:
```
5
Lattice="4.1080 0.0000 0.0000 0.0000 4.1080 0.0000 0.0000 0.0000 4.1080" Properties=species:S:1:pos:R:3 pbc="T T T"
Zn 0.0000 2.0540 0.0000
Zn 0.0000 0.0000 2.0540
Zn 2.0540 0.0000 0.0000
Fe 2.0540 2.0540 2.0540
N 0.0000 0.0000 0.0000
```

Calculated values
E: -3.482 eV per atom
space-group type: Pm-3m (221)
formation energy (no corrections): 3.20 eV/f.u.